Compound: La2Si5Pd3
Source: Alexandria
Functional: PBE
Structure: optimized geometry

## Properties
SG: No. 72
formation energy without anion corrections: -0.86 eV/atom
VASP energy: -61.12 eV per formula unit

abc: 8.3807 8.3807 8.3807
angles: 106.00 89.20 137.59
Element x y z (fractional)
La 0.1280 0.2346 0.3625
La 0.3720 0.7346 0.1066
La 0.6280 0.2654 0.8934
La 0.8720 0.7654 0.6375
Si 0.0228 0.7500 0.2728
Si 0.1153 0.6470 0.7622
Si 0.2500 0.2500 0.0000
Si 0.3847 0.1470 0.5317
Si 0.4772 0.7500 0.7272
Si 0.5228 0.2500 0.2728
Si 0.6153 0.8530 0.4683
Si 0.7500 0.7500 0.0000
Si 0.8847 0.3530 0.2378
Si 0.9772 0.2500 0.7272
Pd 0.1368 0.8910 0.0278
Pd 0.2500 0.7500 0.5000
Pd 0.3632 0.3910 0.7542
Pd 0.6368 0.6090 0.2458
Pd 0.7500 0.2500 0.5000
Pd 0.8632 0.1090 0.9722